1.
# SrMo2P (GGA-PBE, relaxed)
data_SrMo2P
_chemical_formula_sum 'Sr1 Mo2 P1'
_cell_length_a 3.3905
_cell_length_b 4.0570
_cell_length_c 6.4952
_cell_angle_alpha 90.00
_cell_angle_beta 105.00
_cell_angle_gamma 90.00
_space_group_name_H-M_alt 'P 1 m 1'
_space_group_IT_number 6
loop_
_space_group_symop_operation_xyz
'x,y,z'
'x,-y,z'
loop_
_atom_site_label
_atom_site_type_symbol
_atom_site_fract_x
_atom_site_fract_y
_atom_site_fract_z
Sr1 Sr 0.0000 0.0000 0.0000
Mo1 Mo 0.2611 0.0000 0.5179
Mo2 Mo 0.7375 0.5000 0.4709
P1 P 0.3787 0.5000 0.7554
# **Electronic total energy**: -7.22 eV per atom
# **DOS at the Fermi energy**: 2.2 states/eV/cell
# **ΔE_f**: -27 meV/atom

2.
# Pm2Tm2Ge3 (GGA-PBE, relaxed)
data_Pm2Tm2Ge3
_chemical_formula_sum 'Pm4 Tm4 Ge6'
_cell_length_a 14.2555
_cell_length_b 4.2515
_cell_length_c 7.5573
_cell_angle_alpha 90.00
_cell_angle_beta 107.90
_cell_angle_gamma 90.00
_space_group_name_H-M_alt 'C 1 2/m 1'
_space_group_IT_number 12
loop_
_space_group_symop_operation_xyz
'x,y,z'
'-x,-y,-z'
'-x,y,-z'
'x,-y,z'
'x+1/2,y+1/2,z'
'-x+1/2,-y+1/2,-z'
'-x+1/2,y+1/2,-z'
'x+1/2,-y+1/2,z'
loop_
_atom_site_label
_atom_site_type_symbol
_atom_site_fract_x
_atom_site_fract_y
_atom_site_fract_z
Pm1 Pm 0.1215 0.0000 0.3882
Tm1 Tm 0.1614 0.5000 0.8362
Ge1 Ge 0.0000 0.5000 0.5000
Ge2 Ge 0.2214 0.5000 0.2326
# **Electronic total energy**: -5.21 eV per atom
# **DOS at the Fermi energy**: 2.6 states/eV/cell
# **ΔE_f**: -597 meV/atom

3.
# Ca2Cu3Ge4Rh (GGA-PBE, relaxed)
data_Ca2Cu3Ge4Rh
_chemical_formula_sum 'Ca2 Cu3 Ge4 Rh1'
_cell_length_a 4.2122
_cell_length_b 4.2122
_cell_length_c 10.1491
_cell_angle_alpha 90.00
_cell_angle_beta 90.00
_cell_angle_gamma 90.00
_space_group_name_H-M_alt 'P -4 m 2'
_space_group_IT_number 115
loop_
_space_group_symop_operation_xyz
'x,y,z'
'y,-x,-z'
'-x,-y,z'
'-y,x,-z'
'-x,y,z'
'-y,-x,-z'
'x,-y,z'
'y,x,-z'
loop_
_atom_site_label
_atom_site_type_symbol
_atom_site_fract_x
_atom_site_fract_y
_atom_site_fract_z
Ca1 Ca 0.0000 0.5000 0.2499
Cu1 Cu 0.0000 0.0000 0.0000
Cu2 Cu 0.0000 0.5000 0.6340
Ge1 Ge 0.0000 0.0000 0.5000
Ge2 Ge 0.0000 0.5000 0.8722
Ge3 Ge 0.5000 0.5000 0.5000
Rh1 Rh 0.5000 0.5000 0.0000
# **Electronic total energy**: -4.64 eV per atom
# **DOS at the Fermi energy**: 5.3 states/eV/cell
# **ΔE_f**: -432 meV/atom

4.
# Sc2AgTe (GGA-PBE, relaxed)
data_Sc2AgTe
_chemical_formula_sum 'Sc2 Ag1 Te1'
_cell_length_a 3.6617
_cell_length_b 3.6870
_cell_length_c 6.5312
_cell_angle_alpha 90.00
_cell_angle_beta 90.00
_cell_angle_gamma 90.00
_space_group_name_H-M_alt 'P m m m'
_space_group_IT_number 47
loop_
_space_group_symop_operation_xyz
'x,y,z'
'-x,-y,-z'
'-x,-y,z'
'x,y,-z'
'x,-y,-z'
'-x,y,z'
'-x,y,-z'
'x,-y,z'
loop_
_atom_site_label
_atom_site_type_symbol
_atom_site_fract_x
_atom_site_fract_y
_atom_site_fract_z
Sc1 Sc 0.0000 0.0000 0.2467
Ag1 Ag 0.5000 0.5000 0.0000
Te1 Te 0.5000 0.5000 0.5000
# **Electronic total energy**: -5.22 eV per atom
# **DOS at the Fermi energy**: 3.2 states/eV/cell
# **Raw formation energy**: -0.56 eV per atom

5.
# Dy5SbRu2 (GGA-PBE, relaxed)
data_Dy5SbRu2
_chemical_formula_sum 'Dy20 Sb4 Ru8'
_cell_length_a 7.7279
_cell_length_b 7.7279
_cell_length_c 13.4825
_cell_angle_alpha 90.00
_cell_angle_beta 90.00
_cell_angle_gamma 90.00
_space_group_name_H-M_alt 'I 4/m c m'
_space_group_IT_number 140
_space_group_name_Hall '-I 4 2c'
loop_
_atom_site_label
_atom_site_type_symbol
_atom_site_fract_x
_atom_site_fract_y
_atom_site_fract_z
Dy1 Dy 0.0000 0.0000 0.0000
Dy2 Dy 0.1566 0.3434 0.1341
Sb1 Sb 0.0000 0.0000 0.2500
Ru1 Ru 0.1410 0.3590 0.5000
# **Electronic total energy**: -6.26 eV per atom
# **DOS at the Fermi energy**: 26.6 states/eV/cell
# **Raw formation energy**: -0.55 eV per atom

6.
# Sc2Ni3Ir (GGA-PBE, relaxed)
data_Sc2Ni3Ir
_chemical_formula_sum 'Sc6 Ni9 Ir3'
_cell_length_a 4.8820
_cell_length_b 4.8820
_cell_length_c 12.6801
_cell_angle_alpha 90.00
_cell_angle_beta 90.00
_cell_angle_gamma 120.00
_space_group_name_H-M_alt 'R -3 m'
_space_group_IT_number 166
_space_group_name_Hall '-R 3 2"'
loop_
_atom_site_label
_atom_site_type_symbol
_atom_site_fract_x
_atom_site_fract_y
_atom_site_fract_z
Sc1 Sc 0.0000 0.0000 0.1231
Ni1 Ni 0.0000 0.5000 0.0000
Ir1 Ir 0.0000 0.0000 0.5000
# **Electronic total energy**: -7.11 eV per atom
# **DOS at the Fermi energy**: 19.0 states/eV/cell
# **ΔE_f**: -629 meV/atom